MnInSN2 | GGA-PBE | optimized geometry

Properties
Energy above the lowest structure with this stoichiometry ... 0 meV per atom
Formation energy from raw total energies ... 424 meV per atom
Total magnetic moment ... 0.000 μB/atom
Mass density ... 5.568 g cm⁻³

a b c (Å): 3.684 3.684 5.050
angles (deg): 90.00 90.00 90.00
Atoms (fractional coordinates):
Mn  0.000  0.000  0.000
In  0.500  0.500  0.500
S  0.000  0.000  0.500
N  0.000  0.500  0.000
N  0.500  0.000  0.000